No. 1
# Pr2In5Ir3, optimized geometry, DFT PBE
# DFT formation energy in eV per atom: -0.4499
# Crystal system: orthorhombic
# Fermi-level density of states in states/eV per cell: 20.5
data_Pr2In5Ir3
_chemical_formula_sum 'Pr8 In20 Ir12'
_space_group_name_H-M_alt 'C m c 21'
_space_group_IT_number 36
_space_group_name_Hall 'C 2c -2'
_cell_length_a 4.5356
_cell_length_b 26.7372
_cell_length_c 7.4021
_cell_angle_alpha 90.00
_cell_angle_beta 90.00
_cell_angle_gamma 90.00
loop_
_atom_site_label
_atom_site_fract_x
_atom_site_fract_y
_atom_site_fract_z
_atom_site_occupancy
Pr1 0.0000 0.0256 0.0000 1
Pr2 0.0000 0.3242 0.9028 1
In1 0.0000 0.0979 0.6155 1
In2 0.0000 0.2067 0.0982 1
In3 0.0000 0.2095 0.6962 1
In4 0.0000 0.3732 0.4570 1
In5 0.0000 0.4467 0.8288 1
Ir1 0.0000 0.1107 0.2374 1
Ir2 0.0000 0.2702 0.3951 1
Ir3 0.0000 0.4549 0.2122 1

***

No. 2
# PrIn6Ir, optimized geometry, DFT PBE
# DFT formation energy in eV per atom: 0.3239
# Crystal system: cubic
# Fermi-level density of states in states/eV per cell: 41.3
data_PrIn6Ir
_chemical_formula_sum 'Pr4 In24 Ir4'
_space_group_name_H-M_alt 'F m -3 m'
_space_group_IT_number 225
_space_group_name_Hall '-F 4 2 3'
_cell_length_a 11.6301
_cell_length_b 11.6301
_cell_length_c 11.6301
_cell_angle_alpha 90.00
_cell_angle_beta 90.00
_cell_angle_gamma 90.00
loop_
_atom_site_label
_atom_site_fract_x
_atom_site_fract_y
_atom_site_fract_z
_atom_site_occupancy
Pr1 0.0000 0.0000 0.0000 1
In1 0.0000 0.0000 0.2748 1
Ir1 0.0000 0.0000 0.5000 1

***

No. 3
# Pr3InIr, optimized geometry, DFT PBE
# Offset from the most stable computed form in meV/atom: 0
# DFT formation energy in eV per atom: -0.4646
# Crystal system: orthorhombic
# Fermi-level density of states in states/eV per cell: 20.1
data_Pr3InIr
_chemical_formula_sum 'Pr12 In4 Ir4'
_space_group_name_H-M_alt 'C m c m'
_space_group_IT_number 63
_space_group_name_Hall '-C 2c 2'
_cell_length_a 4.7079
_cell_length_b 12.0040
_cell_length_c 10.7550
_cell_angle_alpha 90.00
_cell_angle_beta 90.00
_cell_angle_gamma 90.00
loop_
_atom_site_label
_atom_site_fract_x
_atom_site_fract_y
_atom_site_fract_z
_atom_site_occupancy
Pr1 0.0000 0.0769 0.2500 1
Pr2 0.0000 0.3569 0.0443 1
In1 0.0000 0.2253 0.7500 1
Ir1 0.0000 0.0000 0.0000 1

***

No. 4
# Pr6InIr, optimized geometry, DFT PBE
# DFT formation energy in eV per atom: -0.1465
# Crystal system: monoclinic
# Fermi-level density of states in states/eV per cell: 20.9
data_Pr6InIr
_chemical_formula_sum 'Pr12 In2 Ir2'
_space_group_name_H-M_alt 'C 1 2/m 1'
_space_group_IT_number 12
_space_group_name_Hall '-C 2y'
_cell_length_a 8.1886
_cell_length_b 10.5426
_cell_length_c 6.7412
_cell_angle_alpha 90.00
_cell_angle_beta 105.13
_cell_angle_gamma 90.00
loop_
_atom_site_label
_atom_site_fract_x
_atom_site_fract_y
_atom_site_fract_z
_atom_site_occupancy
Pr1 0.1242 0.1897 0.2884 1
Pr2 0.2157 0.5000 0.1482 1
In1 0.0000 0.5000 0.5000 1
Ir1 0.0000 0.0000 0.0000 1

***

No. 5
# Pr3InIr, optimized geometry, DFT PBE
# Offset from the most stable computed form in meV/atom: 180
# DFT formation energy in eV per atom: -0.2845
# Crystal system: cubic
# Fermi-level density of states in states/eV per cell: 6.5
data_Pr3InIr
_chemical_formula_sum 'Pr3 In1 Ir1'
_space_group_name_H-M_alt 'P m -3 m'
_space_group_IT_number 221
_space_group_name_Hall '-P 4 2 3'
_cell_length_a 5.5738
_cell_length_b 5.5738
_cell_length_c 5.5738
_cell_angle_alpha 90.00
_cell_angle_beta 90.00
_cell_angle_gamma 90.00
loop_
_atom_site_label
_atom_site_fract_x
_atom_site_fract_y
_atom_site_fract_z
_atom_site_occupancy
Pr1 0.0000 0.0000 0.5000 1
In1 0.5000 0.5000 0.5000 1
Ir1 0.0000 0.0000 0.0000 1

***

No. 6
# Pr6InIr2, optimized geometry, DFT PBE
# Offset from the most stable computed form in meV/atom: 71
# DFT formation energy in eV per atom: -0.3993
# Crystal system: monoclinic
# Fermi-level density of states in states/eV per cell: 12.4
data_Pr6InIr2
_chemical_formula_sum 'Pr12 In2 Ir4'
_space_group_name_H-M_alt 'C 1 2/m 1'
_space_group_IT_number 12
_space_group_name_Hall '-C 2y'
_cell_length_a 11.0190
_cell_length_b 5.0396
_cell_length_c 9.5601
_cell_angle_alpha 90.00
_cell_angle_beta 103.59
_cell_angle_gamma 90.00
loop_
_atom_site_label
_atom_site_fract_x
_atom_site_fract_y
_atom_site_fract_z
_atom_site_occupancy
Pr1 0.0288 0.0000 0.3487 1
Pr2 0.1660 0.5000 0.8897 1
Pr3 0.2083 0.5000 0.3335 1
In1 0.0000 0.0000 0.0000 1
Ir1 0.1222 0.5000 0.5934 1

***

No. 7
# Pr3InIr, optimized geometry, DFT PBE
# Offset from the most stable computed form in meV/atom: 31
# DFT formation energy in eV per atom: -0.4332
# Crystal system: monoclinic
# Fermi-level density of states in states/eV per cell: 22.5
data_Pr3InIr
_chemical_formula_sum 'Pr12 In4 Ir4'
_space_group_name_H-M_alt 'C 1 2/m 1'
_space_group_IT_number 12
_space_group_name_Hall '-C 2y'
_cell_length_a 15.4333
_cell_length_b 4.5229
_cell_length_c 10.4432
_cell_angle_alpha 90.00
_cell_angle_beta 122.36
_cell_angle_gamma 90.00
loop_
_atom_site_label
_atom_site_fract_x
_atom_site_fract_y
_atom_site_fract_z
_atom_site_occupancy
Pr1 0.0964 0.0000 0.4492 1
Pr2 0.1386 0.5000 0.2142 1
Pr3 0.1650 0.5000 0.8057 1
In1 0.0728 0.0000 0.9318 1
Ir1 0.2293 0.5000 0.5875 1

***

No. 8
# PrIn2Ir, optimized geometry, DFT PBE
# DFT formation energy in eV per atom: -0.5024
# Crystal system: orthorhombic
# Fermi-level density of states in states/eV per cell: 19.5
data_PrIn2Ir
_chemical_formula_sum 'Pr8 In16 Ir8'
_space_group_name_H-M_alt 'P n m a'
_space_group_IT_number 62
_space_group_name_Hall '-P 2ac 2n'
_cell_length_a 16.1962
_cell_length_b 8.1060
_cell_length_c 5.7232
_cell_angle_alpha 90.00
_cell_angle_beta 90.00
_cell_angle_gamma 90.00
loop_
_atom_site_label
_atom_site_fract_x
_atom_site_fract_y
_atom_site_fract_z
_atom_site_occupancy
Pr1 0.1032 0.2500 0.2416 1
Pr2 0.1409 0.7500 0.4606 1
In1 0.0381 0.0515 0.7503 1
In2 0.2142 0.5500 0.9689 1
Ir1 0.0710 0.7500 0.9786 1
Ir2 0.1808 0.2500 0.7421 1

***

What did the seventh record say?
# Pr3InIr, optimized geometry, DFT PBE
# Offset from the most stable computed form in meV/atom: 31
# DFT formation energy in eV per atom: -0.4332
# Crystal system: monoclinic
# Fermi-level density of states in states/eV per cell: 22.5
data_Pr3InIr
_chemical_formula_sum 'Pr12 In4 Ir4'
_space_group_name_H-M_alt 'C 1 2/m 1'
_space_group_IT_number 12
_space_group_name_Hall '-C 2y'
_cell_length_a 15.4333
_cell_length_b 4.5229
_cell_length_c 10.4432
_cell_angle_alpha 90.00
_cell_angle_beta 122.36
_cell_angle_gamma 90.00
loop_
_atom_site_label
_atom_site_fract_x
_atom_site_fract_y
_atom_site_fract_z
_atom_site_occupancy
Pr1 0.0964 0.0000 0.4492 1
Pr2 0.1386 0.5000 0.2142 1
Pr3 0.1650 0.5000 0.8057 1
In1 0.0728 0.0000 0.9318 1
Ir1 0.2293 0.5000 0.5875 1

***

Question: DFT formation energy of number 2 (PrIn6Ir)?
Answer: 0.3239 eV per atom

***

Question: Which value of DFT formation energy does entry 7 give?
Answer: -0.4332 eV per atom

***

What did the first record say?
# Pr2In5Ir3, optimized geometry, DFT PBE
# DFT formation energy in eV per atom: -0.4499
# Crystal system: orthorhombic
# Fermi-level density of states in states/eV per cell: 20.5
data_Pr2In5Ir3
_chemical_formula_sum 'Pr8 In20 Ir12'
_space_group_name_H-M_alt 'C m c 21'
_space_group_IT_number 36
_space_group_name_Hall 'C 2c -2'
_cell_length_a 4.5356
_cell_length_b 26.7372
_cell_length_c 7.4021
_cell_angle_alpha 90.00
_cell_angle_beta 90.00
_cell_angle_gamma 90.00
loop_
_atom_site_label
_atom_site_fract_x
_atom_site_fract_y
_atom_site_fract_z
_atom_site_occupancy
Pr1 0.0000 0.0256 0.0000 1
Pr2 0.0000 0.3242 0.9028 1
In1 0.0000 0.0979 0.6155 1
In2 0.0000 0.2067 0.0982 1
In3 0.0000 0.2095 0.6962 1
In4 0.0000 0.3732 0.4570 1
In5 0.0000 0.4467 0.8288 1
Ir1 0.0000 0.1107 0.2374 1
Ir2 0.0000 0.2702 0.3951 1
Ir3 0.0000 0.4549 0.2122 1